# 1
Density functional theory data (GGA-PBE) for a relaxed TiNiBi2Mo crystal.

Summary:
**E_form**: 1.21 eV/atom
**Calculated total energy**: -26.200 eV per cell

a b c (Å): 5.330 5.330 4.518
angles (deg): 90.00 90.00 90.00
Space group P4/mmm (No. 123)
Asymmetric unit:
Ti1 0.000 0.000 0.000 [1 per cell]
Ni1 0.500 0.500 0.500 [1 per cell]
Bi1 0.000 0.500 0.000 [2 per cell]
Mo1 0.000 0.000 0.500 [1 per cell]



# 2
Density functional theory data (GGA-PBE) for a relaxed NpBiMo crystal.

Summary:
**E_form**: 0.37 eV/atom
**Calculated total energy**: -106.204 eV per cell

a b c (Å): 13.859 4.409 4.625
angles (deg): 90.00 90.49 90.00
Space group C2/m (No. 12)
Asymmetric unit:
Np1 0.082 0.000 0.350 [4 per cell]
Bi1 0.115 0.500 0.834 [4 per cell]
Mo1 0.250 0.000 0.661 [4 per cell]